Entry 1:
An optimized crystal structure of Pu2ZnPd6. Source: Alexandria via LeMat-Bulk, functional PBE.

Output
Total magnetization ... 1.144 μB/atom
DFT total energy ... -7.28 eV per atom

```
9
Lattice="-3.7034 3.0462 -3.2486 2.7789 -1.6771 -4.7348 -1.5813 -4.8111 -2.7030" Properties=species:S:1:pos:R:3 pbc="T T T"
Pd 0.5871 -2.1082 -5.8673
Pd -3.0928 -1.3339 -4.8191
Pd -1.4961 -3.6056 -4.8966
Pd -1.0096 0.1634 -5.7899
Pd -0.1673 -4.4078 -7.1579
Pd -2.3384 0.9656 -3.5285
Pu -0.2589 -1.6215 -3.0566
Pu -2.2468 -1.8206 -7.6299
Zn 0.0000 0.0000 0.0000
```


Entry 2:
An optimized crystal structure of PuZn4Pd. Source: Alexandria via LeMat-Bulk, functional PBE.

Output
Total magnetization ... 0.954 μB/atom
DFT total energy ... -4.32 eV per atom
Energy above the lowest structure with this stoichiometry ... 0.41 kcal/mol of atoms

```
6
Lattice="-3.3651 2.1031 -3.4401 -1.1998 -2.5815 -4.4134 -4.7822 -2.0846 -0.6054" Properties=species:S:1:pos:R:3 pbc="T T T"
Zn -3.4626 -0.5665 -4.9768
Zn -4.1643 -2.6402 -3.5731
Zn -5.8306 -1.5988 -5.2766
Zn -5.2365 -0.3205 -3.0912
Pu 0.0000 0.0000 0.0000
Pd -2.3368 -0.6407 -2.1147
```


Entry 3:
An optimized crystal structure of Pu2ZnPd. Source: Alexandria via LeMat-Bulk, functional PBE.

Output
Total magnetization ... 0.179 μB/atom
DFT total energy ... -8.65 eV per atom
Energy above the lowest structure with this stoichiometry ... 8.59 kcal/mol of atoms

```
4
Lattice="-4.9675 0.9202 -1.1348 0.6126 -0.8864 -3.4003 -0.7986 -3.3964 0.7415" Properties=species:S:1:pos:R:3 pbc="T T T"
Zn -2.5768 -1.6813 -1.8968
Pu 0.3063 -0.4432 -1.7002
Pu -0.3993 -1.6982 0.3708
Pd -2.4838 0.4601 -0.5674
```


Entry 4:
An optimized crystal structure of PuZnPd6. Source: Alexandria via LeMat-Bulk, functional PBE.

Output
Total magnetization ... 0.508 μB/atom
DFT total energy ... -6.28 eV per atom

```
8
Lattice="4.0848 0.0000 0.0000 0.0000 4.0848 0.0000 0.0000 0.0000 7.8675" Properties=species:S:1:pos:R:3 pbc="T T T"
Pd 0.0000 2.0424 2.0547
Pd 2.0424 0.0000 5.8128
Pd 2.0424 0.0000 2.0547
Pd 2.0424 2.0424 3.9337
Pd 2.0424 2.0424 0.0000
Pd 0.0000 2.0424 5.8128
Pu 0.0000 0.0000 0.0000
Zn 0.0000 0.0000 3.9337
```


Entry 5:
An optimized crystal structure of PuZn2Pd2. Source: Alexandria via LeMat-Bulk, functional PBE.

Output
Total magnetization ... 1.238 μB/atom
DFT total energy ... -5.91 eV per atom

```
10
Lattice="2.8725 0.0000 0.0000 0.0000 7.7477 0.0000 0.0000 0.0000 7.7477" Properties=species:S:1:pos:R:3 pbc="T T T"
Zn 1.4362 5.0887 6.5328
Zn 1.4362 6.5328 2.6590
Zn 1.4362 2.6590 1.2149
Zn 1.4362 1.2149 5.0887
Pd 0.0000 1.0584 2.8155
Pd 0.0000 6.6893 4.9322
Pd 0.0000 2.8155 6.6893
Pd 0.0000 4.9322 1.0584
Pu 0.0000 0.0000 0.0000
Pu 0.0000 3.8739 3.8739
```


Entry 6:
An optimized crystal structure of PuZn3Pd2. Source: Alexandria via LeMat-Bulk, functional PBE.

Output
Total magnetization ... 0.958 μB/atom
DFT total energy ... -4.97 eV per atom

```
12
Lattice="6.1484 0.0000 0.0000 3.0742 5.3247 0.0000 3.0742 1.7749 6.5367" Properties=species:S:1:pos:R:3 pbc="T T T"
Pd 3.0742 0.0000 0.0000
Pd 4.6113 2.6623 0.0000
Pd 0.0000 0.0000 0.0000
Pd 1.5371 2.6623 0.0000
Zn 4.7148 4.3775 2.0017
Zn 6.1484 5.2051 4.5350
Zn 4.7148 2.7221 4.5350
Zn 7.5820 2.7221 4.5350
Zn 7.5820 4.3775 2.0017
Zn 6.1484 1.8944 2.0017
Pu 9.2226 5.3247 4.2924
Pu 3.0742 1.7749 2.2443
```